No. 1
Below is a relaxed Ti2NbH8 crystal, with properties calculated at the GGA-PBE level.

Unit cell a=3.185 b=4.527 c=9.470 alpha=90.00 beta=90.00 gamma=90.00
Space group Immm (No. 71)
Inequivalent atoms, fractional coordinates:
Ti: 0.000 0.000 0.172 (multiplicity 4)
Nb: 0.000 0.000 0.500 (multiplicity 2)
H: 0.000 0.220 0.000 (multiplicity 4)
H: 0.000 0.270 0.338 (multiplicity 8)
H: 0.000 0.500 0.160 (multiplicity 4)


No. 2
Below is a relaxed TiNbH3 crystal, with properties calculated at the GGA-PBE level.

Unit cell a=3.469 b=3.469 c=3.469 alpha=90.00 beta=90.00 gamma=90.00
Space group Pm-3m (No. 221)
Inequivalent atoms, fractional coordinates:
Ti: 0.000 0.000 0.000 (multiplicity 1)
Nb: 0.500 0.500 0.500 (multiplicity 1)
H: 0.000 0.000 0.500 (multiplicity 3)

Properties
distance to the lowest polymorph of the same formula: 0.211 eV per atom


No. 3
Below is a relaxed TiNbH crystal, with properties calculated at the GGA-PBE level.

Unit cell a=5.365 b=5.365 c=5.365 alpha=90.00 beta=90.00 gamma=90.00
Space group F-43m (No. 216)
Inequivalent atoms, fractional coordinates:
Ti: 0.000 0.000 0.000 (multiplicity 4)
Nb: 0.000 0.000 0.500 (multiplicity 4)
H: 0.250 0.250 0.250 (multiplicity 4)

Properties
distance to the lowest polymorph of the same formula: 0.618 eV per atom


No. 4
Below is a relaxed Ti2Nb3H4 crystal, with properties calculated at the GGA-PBE level.

Unit cell a=9.679 b=2.776 c=7.610 alpha=90.00 beta=108.20 gamma=90.00
Space group C2/m (No. 12)
Inequivalent atoms, fractional coordinates:
Ti: 0.205 0.000 0.305 (multiplicity 4)
Nb: 0.000 0.500 0.500 (multiplicity 2)
Nb: 0.104 0.000 0.898 (multiplicity 4)
H: 0.087 0.500 0.117 (multiplicity 4)
H: 0.160 0.000 0.544 (multiplicity 4)


| no. | raw total energy (eV/f.u.) | mass density (Mg/m³) |
| --- | --- | --- |
| 1 | -55.05 | 4.78 |
| 2 | -28.32 | 5.72 |
| 3 | -20.10 | 6.10 |
| 4 | -60.45 | 6.47 |